1.
Entry from Alexandria via LeMat-Bulk: a relaxed structure of LaYTm (GGA-PBE).

Output
Formation energy = 0.038 eV per atom
Energy above the most stable polymorph in this dataset = 3 meV per atom
Symmetry = Cmcm
N(E_F) = 10.8 states/eV/cell
E_tot = -5.25 eV per atom

Cell and atoms, written as extended XYZ:
```
6
Lattice="-2.062 4.228 -2.005 1.889 -2.611 -7.449 -5.774 -0.111 5.703" Properties=species:S:1:pos:R:3 pbc="T T T"
La 0.805 -1.628 -6.364
La -1.463 0.890 -5.243
Y -1.717 -0.805 -2.035
Y -6.604 2.567 3.580
Tm -4.292 0.035 2.384
Tm -4.029 1.727 -0.839
```

***

2.
Entry from Alexandria via LeMat-Bulk: a relaxed structure of Sr2PuBr8 (GGA-PBE).

Output
Raw formation energy = -1.6656 eV/atom
Symmetry = C2/m
N(E_F) = 12.5 states/eV/cell
E_tot = -4.49 eV per atom

Cell and atoms, written as extended XYZ:
```
11
Lattice="-1.092 5.719 -3.738 -5.269 -3.871 -4.382 -5.332 -0.820 6.705" Properties=species:S:1:pos:R:3 pbc="T T T"
Sr -4.021 -1.207 -0.671
Sr -7.671 2.234 -0.744
Pu 0.000 0.000 0.000
Br -7.292 2.306 2.489
Br -6.752 -0.524 4.339
Br -4.400 -1.279 -3.905
Br -4.987 2.000 -1.887
Br -4.941 1.552 -5.755
Br -2.359 0.441 1.364
Br -9.333 0.586 -2.780
Br -6.706 -0.972 0.471
```

***

3.
Entry from Alexandria via LeMat-Bulk: a relaxed structure of MgAgRu2 (GGA-PBE).

Output
Formation energy = 0.065 eV per atom
Symmetry = P4mm
N(E_F) = 2.7 states/eV/cell
E_tot = -5.68 eV per atom

Cell and atoms, written as extended XYZ:
```
4
Lattice="-2.200 0.016 1.846 -0.913 -2.505 -1.066 4.278 -3.744 5.132" Properties=species:S:1:pos:R:3 pbc="T T T"
Ag 2.117 -1.852 2.539
Mg 1.720 -4.112 4.321
Ru 0.069 -0.060 0.083
Ru -0.602 -2.080 1.535
```

***

4.
Entry from Alexandria via LeMat-Bulk: a relaxed structure of TcRu (GGA-PBE).

Output
Formation energy = 0.069 eV per atom
Energy above the most stable polymorph in this dataset = 136 meV per atom
Symmetry = R-3m
N(E_F) = 6.5 states/eV/cell
E_tot = -9.75 eV per atom

Cell and atoms, written as extended XYZ:
```
6
Lattice="2.725 0.000 0.000 -1.362 2.360 0.000 0.000 0.000 13.317" Properties=species:S:1:pos:R:3 pbc="T T T"
Ru 0.000 0.000 6.658
Ru 0.000 1.573 2.220
Ru 1.362 0.787 11.097
Tc 0.000 0.000 0.000
Tc 0.000 1.573 8.878
Tc 1.362 0.787 4.439
```

***

5.
Entry from Alexandria via LeMat-Bulk: a relaxed structure of ThAl2Ni2 (GGA-PBE).

Output
Formation energy = -0.475 eV per atom
Symmetry = Fddd
N(E_F) = 6.7 states/eV/cell
E_tot = -5.77 eV per atom

Cell and atoms, written as extended XYZ:
```
10
Lattice="-2.416 0.153 4.926 2.190 -4.779 -1.577 5.848 4.032 1.083" Properties=species:S:1:pos:R:3 pbc="T T T"
Th 3.641 0.171 4.137
Th 1.981 -0.765 0.295
Al 2.523 2.116 1.872
Al 0.639 -3.448 1.378
Al 3.099 -2.710 2.560
Al 4.984 2.854 3.054
Ni 4.732 1.437 1.082
Ni 0.657 0.653 2.164
Ni 4.965 -1.247 2.268
Ni 0.890 -2.031 3.350
```

***

6.
Entry from Alexandria via LeMat-Bulk: a relaxed structure of K2SrTa (GGA-PBE).

Output
Formation energy = 0.948 eV per atom
Energy above the most stable polymorph in this dataset = 0 meV per atom
Symmetry = Pm
N(E_F) = 4.4 states/eV/cell
E_tot = -2.98 eV per atom

Cell and atoms, written as extended XYZ:
```
4
Lattice="-3.458 0.179 -0.155 -0.173 -3.460 -0.115 -0.790 -3.954 13.063" Properties=species:S:1:pos:R:3 pbc="T T T"
K -0.756 -3.904 12.357
K -1.979 -1.773 3.367
Sr -0.518 -3.754 7.235
Ta -2.439 -5.464 9.372
```

***

Which of these has the lowest E_tot?
TcRu